(1)
! BeRe2P (PBE-GGA, relaxed); values from VASP
&SYSTEM
  ibrav = 0, nat = 4, ntyp = 3
/
ATOMIC_SPECIES
Re 186.21 Re.upf
Be 9.01 Be.upf
P 30.97 P.upf
ATOMIC_POSITIONS crystal
Re 0.0000 0.8083 0.9971
Re 0.0000 0.6917 0.5029
Be 0.5000 0.2500 0.2500
P 0.5000 0.7500 0.7500
CELL_PARAMETERS angstrom
-0.3820 -0.5636 -3.5818
-2.5004 -1.2796 0.4680
-4.4797 3.3508 -0.0495
! ρ	13.08	Mg/m³
! energy of formation from the pure elements	0.11	eV/atom
! total energy	-8.39	eV/atom

(2)
! NaCuGe2 (PBE-GGA, relaxed); values from VASP
&SYSTEM
  ibrav = 0, nat = 4, ntyp = 3
/
ATOMIC_SPECIES
Na 22.99 Na.upf
Ge 72.64 Ge.upf
Cu 63.55 Cu.upf
ATOMIC_POSITIONS crystal
Na 0.5000 0.5000 0.5000
Ge 0.0000 0.0000 0.8129
Ge 0.0000 0.0000 0.1871
Cu 0.5000 0.5000 0.0000
CELL_PARAMETERS angstrom
3.3079 0.0000 0.0000
0.0000 3.3079 0.0000
0.0000 0.0000 6.9124
! ρ	5.09	Mg/m³
! energy of formation from the pure elements	0.06	eV/atom
! total energy	-3.60	eV/atom